Material: Mg2WBr
Method: DFT, GGA-PBE
State: relaxed

Cell lengths 3.070, 5.015, 5.043 Å; angles 90.00, 90.00, 90.00 degrees
Positions (direct):
Mg1 0.000 0.000 0.000
Mg2 0.500 0.500 0.000
W1 0.000 0.500 0.500
Br1 0.500 0.000 0.500

Calculated values
Formation energy without anion corrections = 767 meV/atom
Energy relative to the lowest polymorph listed for this composition = 0.645 eV per atom
Crystal system = orthorhombic
Total DFT energy (no corrections) = -14.75 eV per cell

Material: MgW3Br
Method: DFT, GGA-PBE
State: relaxed

Cell lengths 4.696, 4.696, 4.696 Å; angles 90.00, 90.00, 90.00 degrees
Positions (direct):
Mg1 0.000 0.000 0.000
W1 0.000 0.000 0.500
W2 0.000 0.500 0.000
W3 0.500 0.000 0.000
Br1 0.500 0.500 0.500

Calculated values
Formation energy without anion corrections = 2961 meV/atom
Energy relative to the lowest polymorph listed for this composition = 0.997 eV per atom
Crystal system = cubic
Total DFT energy (no corrections) = -27.32 eV per cell

Material: Mg4WBr
Method: DFT, GGA-PBE
State: relaxed

Cell lengths 5.632, 5.632, 5.632 Å; angles 60.00, 60.00, 60.00 degrees
Positions (direct):
Mg1 0.123 0.123 0.123
Mg2 0.123 0.123 0.631
Mg3 0.123 0.631 0.123
Mg4 0.631 0.123 0.123
W1 0.750 0.750 0.750
Br1 0.500 0.500 0.500

Calculated values
Formation energy without anion corrections = 718 meV/atom
Crystal system = cubic
Total DFT energy (no corrections) = -16.70 eV per cell

Material: Mg2WBr
Method: DFT, GGA-PBE
State: relaxed

Cell lengths 5.640, 5.640, 5.640 Å; angles 137.87, 137.87, 61.10 degrees
Positions (direct):
Mg1 0.000 0.000 0.000
Mg2 0.750 0.250 0.500
W1 0.250 0.750 0.500
Br1 0.500 0.500 0.000

Calculated values
Formation energy without anion corrections = 831 meV/atom
Energy relative to the lowest polymorph listed for this composition = 0.709 eV per atom
Crystal system = tetragonal
Total DFT energy (no corrections) = -14.49 eV per cell